(1)
Entry from the Alexandria database: crystalline SrCrW at its relaxed geometry (PBE).

Unit cell a=4.992 b=4.992 c=4.992 alpha=60.00 beta=60.00 gamma=60.00
Positions (direct):
Sr 0.000 0.000 0.000
Cr 0.250 0.250 0.250
W 0.750 0.750 0.750

Properties
Distance to the lowest polymorph of the same formula, eV/atom: 1.871
Calculated formation energy, eV per atom: 2.681
Magnetization, μB/cell: 7.713
Electronic total energy, eV per cell: -16.22

---

(2)
Entry from the Alexandria database: crystalline PmY2Pb at its relaxed geometry (PBE).

Unit cell a=3.671 b=3.671 c=9.270 alpha=90.00 beta=90.00 gamma=90.00
Positions (direct):
Pm 0.000 0.000 0.000
Y 0.500 0.500 0.270
Y 0.500 0.500 0.730
Pb 0.000 0.000 0.500

Properties
Distance to the lowest polymorph of the same formula, eV/atom: 0.080
Calculated formation energy, eV per atom: -0.220
Magnetization, μB/cell: 0.000
Electronic total energy, eV per cell: -22.27

---

(3)
Entry from the Alexandria database: crystalline La2UReN6 at its relaxed geometry (PBE).

Unit cell a=4.083 b=4.083 c=8.449 alpha=90.00 beta=90.00 gamma=90.00
Positions (direct):
La 0.000 0.000 0.223
La 0.000 0.000 0.777
U 0.500 0.500 0.500
Re 0.500 0.500 0.000
N 0.000 0.500 0.000
N 0.000 0.500 0.500
N 0.500 0.000 0.000
N 0.500 0.000 0.500
N 0.500 0.500 0.236
N 0.500 0.500 0.764

Properties
Magnetization, μB/cell: 0.001
Electronic total energy, eV per cell: -93.12
ΔE_f (raw), eV per atom: -0.958

---

(4)
Entry from the Alexandria database: crystalline CaPaSbAu at its relaxed geometry (PBE).

Unit cell a=5.261 b=5.261 c=5.261 alpha=60.00 beta=60.00 gamma=60.00
Positions (direct):
Ca 0.000 0.000 0.000
Pa 0.500 0.500 0.500
Sb 0.250 0.250 0.250
Au 0.750 0.750 0.750

Properties
Magnetization, μB/cell: 1.512
Electronic total energy, eV per cell: -20.58
ΔE_f (raw), eV per atom: -0.421

---

(5)
Entry from the Alexandria database: crystalline LaBeTl2 at its relaxed geometry (PBE).

Unit cell a=4.651 b=4.651 c=4.744 alpha=90.00 beta=90.00 gamma=90.00
Positions (direct):
La 0.000 0.000 0.000
Be 0.500 0.500 0.000
Tl 0.000 0.500 0.500
Tl 0.500 0.000 0.500

Properties
Distance to the lowest polymorph of the same formula, eV/atom: 0.108
Calculated formation energy, eV per atom: 0.094
Magnetization, μB/cell: 0.000
Electronic total energy, eV per cell: -13.01

---

(6)
Entry from the Alexandria database: crystalline NaHfTeN2 at its relaxed geometry (PBE).

Unit cell a=4.291 b=4.291 c=5.769 alpha=90.00 beta=90.00 gamma=90.00
Positions (direct):
Na 0.000 0.000 0.000
Hf 0.500 0.500 0.500
Te 0.500 0.500 0.000
N 0.000 0.500 0.500
N 0.500 0.000 0.500

Properties
Distance to the lowest polymorph of the same formula, eV/atom: 0.000
Magnetization, μB/cell: 2.559
Electronic total energy, eV per cell: -30.82
ΔE_f (raw), eV per atom: 0.050

---

> What is the formula in the fourth record?

CaPaSbAu

---

> Which of these has the lowest electronic total energy?

La2UReN6